(1)
A relaxed structure of K3Cd5Au2, computed with PBE.

- SG: Ibam, No. 72
- Formation energy: -0.170 eV/atom
- VASP energy: -1.612 eV per atom
- V: 30.2 Å³/atom

abc: 10.0061 10.0061 10.0061
angles: 101.50 92.07 139.87
Positions (direct):
K: 0.1283 0.7472 0.8756
K: 0.2500 0.2500 0.0000
K: 0.3717 0.2472 0.6189
K: 0.6283 0.7528 0.3811
K: 0.7500 0.7500 0.0000
K: 0.8717 0.2528 0.1244
Cd: 0.0088 0.7500 0.2588
Cd: 0.1181 0.3575 0.4756
Cd: 0.2500 0.7500 0.5000
Cd: 0.3819 0.8575 0.2394
Cd: 0.4912 0.7500 0.7412
Cd: 0.5088 0.2500 0.2588
Cd: 0.6181 0.1425 0.7606
Cd: 0.7500 0.2500 0.5000
Cd: 0.8819 0.6425 0.5244
Cd: 0.9912 0.2500 0.7412
Au: 0.1546 0.1424 0.2970
Au: 0.3454 0.6424 0.9878
Au: 0.6546 0.3576 0.0122
Au: 0.8454 0.8576 0.7030

=====

(2)
A relaxed structure of CsEr2OsO8, computed with PBE.

- Formation energy from raw total energies: -1.9682 eV per atom
- SG: C2/m, No. 12
- VASP energy: -7.041 eV per atom
- V: 15.7 Å³/atom

abc: 4.9450 4.9450 7.7296
angles: 90.11 90.11 90.65
Positions (direct):
Cs: 0.0000 0.0000 0.0000
Er: 0.4994 0.4994 0.7151
Er: 0.5006 0.5006 0.2849
Os: 0.0000 0.0000 0.5000
O: 0.1876 0.8101 0.3286
O: 0.1899 0.8124 0.6714
O: 0.2847 0.2847 0.4991
O: 0.3913 0.3913 0.9998
O: 0.6087 0.6087 0.0002
O: 0.7153 0.7153 0.5009
O: 0.8101 0.1876 0.3286
O: 0.8124 0.1899 0.6714

=====

(3)
A relaxed structure of LaTi2Mn, computed with PBE.

- SG: I4_1/amd, No. 141
- Formation energy: 0.882 eV/atom
- VASP energy: -6.589 eV per atom
- V: 26.9 Å³/atom

abc: 6.7341 6.7341 6.7341
angles: 120.14 120.14 89.76
Positions (direct):
La: 0.3750 0.6250 0.7500
La: 0.6250 0.3750 0.2500
Ti: 0.0000 0.0000 0.0000
Ti: 0.0000 0.0000 0.5000
Ti: 0.0000 0.5000 0.0000
Ti: 0.5000 0.0000 0.5000
Mn: 0.1250 0.8750 0.2500
Mn: 0.8750 0.1250 0.7500